[1]
Below is a relaxed Er3Tm12Pu crystal, with properties calculated at the PBE level.

POSCAR file:
```
Er3Tm12Pu
1.0
4.930 0.000 0.000
0.000 4.930 0.000
0.000 0.000 19.670
Er Tm Pu
3 12 1
direct
0.000 0.000 0.000 Er
0.000 0.000 0.252 Er
0.000 0.000 0.748 Er
0.000 0.500 0.126 Tm
0.000 0.500 0.378 Tm
0.000 0.500 0.622 Tm
0.000 0.500 0.874 Tm
0.500 0.000 0.126 Tm
0.500 0.000 0.378 Tm
0.500 0.000 0.622 Tm
0.500 0.000 0.874 Tm
0.500 0.500 0.000 Tm
0.500 0.500 0.251 Tm
0.500 0.500 0.500 Tm
0.500 0.500 0.749 Tm
0.000 0.000 0.500 Pu
```

Output
* DFT total energy: -5.061 eV/atom
* size of the total moment: 0.391 μB per atom

---

[2]
Below is a relaxed Er3Tm4Pu crystal, with properties calculated at the PBE level.

POSCAR file:
```
Er3Tm4Pu
1.0
11.102 0.000 0.000
0.000 7.076 0.000
0.000 0.000 6.109
Er Tm Pu
6 8 2
direct
0.000 0.121 0.000 Er
0.249 0.124 0.331 Er
0.251 0.876 0.831 Er
0.500 0.879 0.500 Er
0.749 0.876 0.831 Er
0.751 0.124 0.331 Er
0.000 0.376 0.498 Tm
0.000 0.627 0.999 Tm
0.248 0.627 0.337 Tm
0.252 0.373 0.837 Tm
0.500 0.373 0.499 Tm
0.500 0.624 0.998 Tm
0.748 0.373 0.837 Tm
0.752 0.627 0.337 Tm
0.000 0.875 0.498 Pu
0.500 0.125 0.998 Pu
```

Output
* distance to the lowest polymorph of the same formula: 0 meV per atom
* DFT total energy: -5.702 eV/atom
* size of the total moment: 0.848 μB per atom

---

[3]
Below is a relaxed Er4Tm5Pu crystal, with properties calculated at the PBE level.

POSCAR file:
```
Er4Tm5Pu
1.0
8.248 -1.729 0.000
8.248 1.729 0.000
-3.604 0.000 10.525
Er Tm Pu
4 5 1
direct
0.084 0.084 0.291 Er
0.394 0.394 0.202 Er
0.606 0.606 0.798 Er
0.916 0.916 0.709 Er
0.189 0.189 0.078 Tm
0.212 0.212 0.617 Tm
0.500 0.500 0.500 Tm
0.788 0.788 0.383 Tm
0.811 0.811 0.922 Tm
0.500 0.500 0.000 Pu
```

Output
* distance to the lowest polymorph of the same formula: 0 meV per atom
* DFT total energy: -5.436 eV/atom
* size of the total moment: 0.577 μB per atom

---

[4]
Below is a relaxed Er3Tm8Pu crystal, with properties calculated at the PBE level.

POSCAR file:
```
Er3Tm8Pu
1.0
-4.259 4.259 5.616
4.259 -4.259 5.616
4.259 4.259 -5.616
Er Tm Pu
3 8 1
direct
0.000 0.000 0.000 Er
0.250 0.750 0.500 Er
0.750 0.250 0.500 Er
0.141 0.395 0.000 Tm
0.235 0.235 0.539 Tm
0.304 0.765 0.000 Tm
0.395 0.141 0.000 Tm
0.605 0.605 0.746 Tm
0.696 0.696 0.461 Tm
0.765 0.304 0.000 Tm
0.859 0.859 0.254 Tm
0.500 0.500 0.000 Pu
```

Output
* DFT total energy: -4.693 eV/atom
* size of the total moment: 0.352 μB per atom

---

[5]
Below is a relaxed Er3Tm4Pu crystal, with properties calculated at the PBE level.

POSCAR file:
```
Er3Tm4Pu
1.0
-1.689 5.693 6.284
1.689 -5.693 6.284
1.689 5.693 -6.284
Er Tm Pu
3 4 1
direct
0.000 0.000 0.000 Er
0.262 0.762 0.500 Er
0.738 0.238 0.500 Er
0.120 0.368 0.752 Tm
0.384 0.632 0.752 Tm
0.616 0.368 0.248 Tm
0.880 0.632 0.248 Tm
0.500 0.500 0.000 Pu
```

Output
* distance to the lowest polymorph of the same formula: 116 meV per atom
* DFT total energy: -5.586 eV/atom
* size of the total moment: 0.739 μB per atom

---

[6]
Below is a relaxed ErTmPu2 crystal, with properties calculated at the PBE level.

POSCAR file:
```
ErTmPu2
1.0
0.000 3.827 3.827
3.827 0.000 3.827
3.827 3.827 0.000
Er Tm Pu
1 1 2
direct
0.000 0.000 0.000 Er
0.750 0.750 0.750 Tm
0.250 0.250 0.250 Pu
0.500 0.500 0.500 Pu
```

Output
* distance to the lowest polymorph of the same formula: 132 meV per atom
* DFT total energy: -9.136 eV/atom
* size of the total moment: 0.004 μB per atom

---

[7]
Below is a relaxed Er12Tm6Pu crystal, with properties calculated at the PBE level.

POSCAR file:
```
Er12Tm6Pu
1.0
7.611 4.394 2.851
-7.611 4.394 2.851
0.000 -8.789 2.851
Er Tm Pu
12 6 1
direct
0.055 0.581 0.371 Er
0.105 0.156 0.739 Er
0.156 0.739 0.105 Er
0.261 0.895 0.844 Er
0.371 0.055 0.581 Er
0.419 0.629 0.945 Er
0.581 0.371 0.055 Er
0.629 0.945 0.419 Er
0.739 0.105 0.156 Er
0.844 0.261 0.895 Er
0.895 0.844 0.261 Er
0.945 0.419 0.629 Er
0.209 0.314 0.471 Tm
0.314 0.471 0.209 Tm
0.471 0.209 0.314 Tm
0.529 0.791 0.686 Tm
0.686 0.529 0.791 Tm
0.791 0.686 0.529 Tm
0.000 0.000 0.000 Pu
```

Output
* DFT total energy: -5.014 eV/atom
* size of the total moment: 0.338 μB per atom

---

[8]
Below is a relaxed Er6Tm5Pu crystal, with properties calculated at the PBE level.

POSCAR file:
```
Er6Tm5Pu
1.0
-1.827 5.730 8.701
1.827 -5.730 8.701
1.827 5.730 -8.701
Er Tm Pu
6 5 1
direct
0.080 0.333 0.747 Er
0.240 0.000 0.240 Er
0.415 0.667 0.747 Er
0.585 0.333 0.253 Er
0.760 0.000 0.760 Er
0.920 0.667 0.253 Er
0.152 0.152 0.000 Tm
0.317 0.817 0.500 Tm
0.500 0.500 0.000 Tm
0.683 0.183 0.500 Tm
0.848 0.848 0.000 Tm
0.000 0.500 0.500 Pu
```

Output
* DFT total energy: -5.211 eV/atom
* size of the total moment: 0.601 μB per atom

---

[9]
Below is a relaxed Er8Tm2Pu crystal, with properties calculated at the PBE level.

POSCAR file:
```
Er8Tm2Pu
1.0
-2.718 3.891 7.964
2.718 -3.891 7.964
2.718 3.891 -7.964
Er Tm Pu
8 2 1
direct
0.152 0.365 0.787 Er
0.168 0.168 0.000 Er
0.284 0.000 0.284 Er
0.422 0.635 0.787 Er
0.578 0.365 0.213 Er
0.716 0.000 0.716 Er
0.832 0.832 0.000 Er
0.848 0.635 0.213 Er
0.302 0.802 0.500 Tm
0.698 0.198 0.500 Tm
0.000 0.500 0.500 Pu
```

Output
* distance to the lowest polymorph of the same formula: 0 meV per atom
* DFT total energy: -5.308 eV/atom
* size of the total moment: 0.626 μB per atom

---

[10]
Below is a relaxed ErTm4Pu crystal, with properties calculated at the PBE level.

POSCAR file:
```
ErTm4Pu
1.0
1.739 -9.046 0.000
1.739 9.046 0.000
0.000 0.000 11.246
Er Tm Pu
2 8 2
direct
0.222 0.778 0.500 Er
0.778 0.222 0.000 Er
0.001 0.999 0.255 Tm
0.111 0.889 0.006 Tm
0.332 0.668 0.252 Tm
0.444 0.556 0.003 Tm
0.556 0.444 0.503 Tm
0.668 0.332 0.752 Tm
0.889 0.111 0.506 Tm
0.999 0.001 0.755 Tm
0.334 0.666 0.752 Pu
0.666 0.334 0.252 Pu
```

Output
* distance to the lowest polymorph of the same formula: 0 meV per atom
* DFT total energy: -6.092 eV/atom
* size of the total moment: 1.002 μB per atom

---

[11]
Below is a relaxed Er5TmPu crystal, with properties calculated at the PBE level.

POSCAR file:
```
Er5TmPu
1.0
8.474 0.000 0.000
0.000 3.482 0.000
-0.658 0.000 14.278
Er Tm Pu
10 2 2
direct
0.027 0.250 0.389 Er
0.154 0.750 0.947 Er
0.271 0.250 0.743 Er
0.326 0.750 0.518 Er
0.439 0.250 0.094 Er
0.561 0.750 0.906 Er
0.674 0.250 0.482 Er
0.729 0.750 0.257 Er
0.846 0.250 0.053 Er
0.973 0.750 0.611 Er
0.395 0.250 0.318 Tm
0.605 0.750 0.682 Tm
0.126 0.750 0.187 Pu
0.874 0.250 0.813 Pu
```

Output
* DFT total energy: -5.889 eV/atom
* size of the total moment: 0.889 μB per atom

---

[12]
Below is a relaxed Er4Tm3Pu crystal, with properties calculated at the PBE level.

POSCAR file:
```
Er4Tm3Pu
1.0
4.906 0.000 0.000
0.000 9.868 0.000
0.000 0.000 9.844
Er Tm Pu
8 6 2
direct
0.250 0.002 0.128 Er
0.250 0.250 0.874 Er
0.250 0.498 0.128 Er
0.250 0.750 0.873 Er
0.750 0.250 0.127 Er
0.750 0.502 0.872 Er
0.750 0.750 0.126 Er
0.750 0.998 0.872 Er
0.250 0.501 0.622 Tm
0.250 0.750 0.379 Tm
0.250 0.999 0.622 Tm
0.750 0.001 0.378 Tm
0.750 0.250 0.621 Tm
0.750 0.499 0.378 Tm
0.250 0.250 0.374 Pu
0.750 0.750 0.626 Pu
```

Output
* distance to the lowest polymorph of the same formula: 3 meV per atom
* DFT total energy: -5.694 eV/atom
* size of the total moment: 0.825 μB per atom

---

[13]
Below is a relaxed ErTmPu4 crystal, with properties calculated at the PBE level.

POSCAR file:
```
ErTmPu4
1.0
0.000 4.339 4.339
4.339 0.000 4.339
4.339 4.339 0.000
Er Tm Pu
1 1 4
direct
0.000 0.000 0.000 Er
0.750 0.750 0.750 Tm
0.375 0.375 0.375 Pu
0.375 0.375 0.875 Pu
0.375 0.875 0.375 Pu
0.875 0.375 0.375 Pu
```

Output
* DFT total energy: -10.833 eV/atom
* size of the total moment: 3.760 μB per atom

---

[14]
Below is a relaxed Er8Tm4Pu crystal, with properties calculated at the PBE level.

POSCAR file:
```
Er8Tm4Pu
1.0
5.391 3.113 4.393
-5.391 3.113 4.393
0.000 -6.225 4.393
Er Tm Pu
8 4 1
direct
0.245 0.245 0.245 Er
0.245 0.245 0.754 Er
0.245 0.754 0.245 Er
0.246 0.755 0.755 Er
0.754 0.245 0.245 Er
0.755 0.246 0.755 Er
0.755 0.755 0.246 Er
0.755 0.755 0.755 Er
0.000 0.000 0.000 Tm
0.000 0.500 0.500 Tm
0.500 0.000 0.500 Tm
0.500 0.500 0.000 Tm
0.500 0.500 0.500 Pu
```

Output
* DFT total energy: -4.777 eV/atom
* size of the total moment: 0.482 μB per atom

---

[15]
Below is a relaxed Er6Tm8Pu crystal, with properties calculated at the PBE level.

POSCAR file:
```
Er6Tm8Pu
1.0
9.598 0.000 0.000
-4.799 8.312 0.000
0.000 0.000 5.671
Er Tm Pu
6 8 1
direct
0.094 0.472 0.253 Er
0.379 0.906 0.253 Er
0.472 0.379 0.747 Er
0.528 0.621 0.253 Er
0.621 0.094 0.747 Er
0.906 0.528 0.747 Er
0.052 0.266 0.763 Tm
0.214 0.948 0.763 Tm
0.266 0.214 0.237 Tm
0.333 0.667 0.762 Tm
0.667 0.333 0.238 Tm
0.734 0.786 0.763 Tm
0.786 0.052 0.237 Tm
0.948 0.734 0.237 Tm
0.000 0.000 0.500 Pu
```

Output
* DFT total energy: -5.031 eV/atom
* size of the total moment: 0.322 μB per atom

---

[16]
Below is a relaxed Er3Tm6Pu crystal, with properties calculated at the PBE level.

POSCAR file:
```
Er3Tm6Pu
1.0
6.601 0.000 0.000
-0.014 6.733 0.000
-0.006 -0.602 6.707
Er Tm Pu
3 6 1
direct
0.000 0.000 0.000 Er
0.199 0.380 0.223 Er
0.399 0.603 0.603 Er
0.199 0.055 0.547 Tm
0.445 0.811 0.110 Tm
0.530 0.282 0.916 Tm
0.699 0.219 0.383 Tm
0.867 0.687 0.320 Tm
0.954 0.492 0.791 Tm
0.700 0.912 0.691 Pu
```

Output
* DFT total energy: -5.305 eV/atom
* size of the total moment: 0.635 μB per atom

---

[17]
Below is a relaxed Er6Tm3Pu crystal, with properties calculated at the PBE level.

POSCAR file:
```
Er6Tm3Pu
1.0
6.609 0.000 0.000
0.006 6.749 0.000
0.001 0.582 6.729
Er Tm Pu
6 3 1
direct
0.000 0.000 0.000 Er
0.087 0.527 0.807 Er
0.331 0.772 0.367 Er
0.575 0.212 0.122 Er
0.663 0.406 0.595 Er
0.831 0.937 0.532 Er
0.130 0.320 0.315 Tm
0.331 0.097 0.691 Tm
0.531 0.720 0.915 Tm
0.831 0.629 0.223 Pu
```

Output
* DFT total energy: -5.334 eV/atom
* size of the total moment: 0.636 μB per atom

---

[18]
Below is a relaxed ErTm6Pu crystal, with properties calculated at the PBE level.

POSCAR file:
```
ErTm6Pu
1.0
5.568 0.000 0.000
0.000 3.523 6.102
0.000 -3.523 6.102
Er Tm Pu
1 6 1
direct
0.000 0.000 0.000 Er
0.000 0.000 0.506 Tm
0.000 0.502 0.502 Tm
0.000 0.506 0.000 Tm
0.500 0.335 0.335 Tm
0.500 0.335 0.837 Tm
0.500 0.837 0.335 Tm
0.500 0.835 0.835 Pu
```

Output
* distance to the lowest polymorph of the same formula: 0 meV per atom
* DFT total energy: -5.667 eV/atom
* size of the total moment: 0.856 μB per atom

---

[19]
Below is a relaxed Er8Tm2Pu crystal, with properties calculated at the PBE level.

POSCAR file:
```
Er8Tm2Pu
1.0
9.345 -3.374 0.000
9.345 3.374 0.000
-0.227 0.000 5.536
Er Tm Pu
8 2 1
direct
0.047 0.047 0.239 Er
0.104 0.633 0.263 Er
0.315 0.315 0.763 Er
0.367 0.896 0.737 Er
0.633 0.104 0.263 Er
0.685 0.685 0.237 Er
0.896 0.367 0.737 Er
0.953 0.953 0.761 Er
0.217 0.217 0.247 Tm
0.783 0.783 0.753 Tm
0.500 0.500 0.000 Pu
```

Output
* distance to the lowest polymorph of the same formula: 65 meV per atom
* DFT total energy: -5.243 eV/atom
* size of the total moment: 0.533 μB per atom

---

[20]
Below is a relaxed Er4Tm2Pu crystal, with properties calculated at the PBE level.

POSCAR file:
```
Er4Tm2Pu
1.0
-3.286 3.286 5.076
3.286 -3.286 5.076
3.286 3.286 -5.076
Er Tm Pu
4 2 1
direct
0.084 0.084 0.631 Er
0.454 0.454 0.369 Er
0.546 0.916 0.000 Er
0.916 0.546 0.000 Er
0.000 0.500 0.500 Tm
0.500 0.000 0.500 Tm
0.000 0.000 0.000 Pu
```

Output
* DFT total energy: -5.676 eV/atom
* size of the total moment: 0.911 μB per atom